The following is a DFT calculation (PBE+U) of FeRh2O5 after structural relaxation.

Computed properties:
volume: 11.3 Å³/atom
raw total energy: -96.2 eV for the cell shown
total magnetization: 4.16 μB per formula unit
symmetry: I4/mcm

a = 5.467 Å, b = 5.467 Å, c = 7.171 Å
α = 112.41°, β = 112.41°, γ = 90.00°
Element x y z (fractional)
1 O 0.958 0.854 0.312
2 O 0.854 0.354 0.312
3 O 0.042 0.146 0.688
4 Rh 0.193 0.307 0.000
5 O 0.500 0.500 0.000
6 Fe 0.250 0.250 0.500
7 Rh 0.807 0.693 0.000
8 O 0.146 0.646 0.688
9 O 0.354 0.458 0.312
10 Rh 0.693 0.193 0.000
11 O 0.458 0.958 0.312
12 Rh 0.307 0.807 0.000
13 Fe 0.750 0.750 0.500
14 O 0.542 0.042 0.688
15 O 0.000 0.000 0.000
16 O 0.646 0.542 0.688